(1)
Below is a relaxed structure of TaW2F, with properties calculated at the GGA+U level.

Geometry as POSCAR:
```
TaW2F
1.0
-0.954 -6.588 -1.859
6.759 -0.610 -1.309
3.330 -4.389 0.995
F W Ta
2 4 2
Cartesian
2.902 -3.599 -1.584
6.496 -4.299 -0.949
1.128 -4.964 -0.985
4.890 -2.629 -0.894
5.010 -6.021 -0.506
7.242 -9.560 -1.960
0.000 0.000 0.000
2.639 -7.288 -1.224
```

Fermi-level density of states in states/eV/atom: 0.480
Density in g/cm³: 14.4
VASP energy in Ry/atom: -0.45799



(2)
Below is a relaxed structure of TaW2F, with properties calculated at the GGA+U level.

Geometry as POSCAR:
```
TaW2F
1.0
2.423 2.676 2.903
-1.159 0.199 4.481
2.744 -1.936 3.191
F W Ta
1 2 1
Cartesian
0.000 0.000 0.000
1.002 0.235 2.643
3.006 0.705 7.930
2.004 0.470 5.287
```

Fermi-level density of states in states/eV/atom: 0.679
Density in g/cm³: 13.4
VASP energy in Ry/atom: -0.44809



(3)
Below is a relaxed structure of TaWF2, with properties calculated at the GGA+U level.

Geometry as POSCAR:
```
TaWF2
1.0
-5.677 3.516 7.471
-3.025 3.190 9.004
-3.564 5.755 7.387
F W Ta
2 1 1
Cartesian
-11.481 11.663 22.334
-0.786 0.798 1.528
-6.133 6.230 11.931
0.000 0.000 0.000
```

Fermi-level density of states in states/eV/atom: 0.303
Density in g/cm³: 8.3
VASP energy in Ry/atom: -0.47447